# LaPuBi PBE-GGA optimized geometry
# uncorrected energy = -72.742 eV for the cell shown
# magnetic moment = 22.64 μB per cell
# crystal system = hexagonal
# DOS at the Fermi energy = 36.03 states/eV per cell
# energy relative to the lowest polymorph listed for this composition = 0.020 eV/atom
data_LaPuBi
_chemical_formula_sum 'La3 Pu3 Bi3'
_symmetry_space_group_name_H-M 'P -6 2 m'
_symmetry_Int_Tables_number 189
_symmetry_space_group_name_Hall 'P -6 -2'
_cell_length_a 8.9671
_cell_length_b 8.9671
_cell_length_c 4.2949
_cell_angle_alpha 90.00
_cell_angle_beta 90.00
_cell_angle_gamma 120.00
loop_
_atom_site_label
_atom_site_type_symbol
_atom_site_fract_x
_atom_site_fract_y
_atom_site_fract_z
La1 La 0.0000 0.2737 0.0000
Pu1 Pu 0.0000 0.6013 0.5000
Bi1 Bi 0.0000 0.0000 0.5000
Bi2 Bi 0.3333 0.6667 0.0000


# GdPtAu PBE-GGA optimized geometry
# uncorrected energy = -52.155 eV for the cell shown
# magnetic moment = 14.25 μB per cell
# crystal system = tetragonal
# DOS at the Fermi energy = 2.15 states/eV per cell
# energy relative to the lowest polymorph listed for this composition = 0.000 eV/atom
data_GdPtAu
_chemical_formula_sum 'Gd2 Pt2 Au2'
_symmetry_space_group_name_H-M 'I 4 m m'
_symmetry_Int_Tables_number 107
_symmetry_space_group_name_Hall 'I 4 -2'
_cell_length_a 3.7143
_cell_length_b 3.7143
_cell_length_c 9.0844
_cell_angle_alpha 90.00
_cell_angle_beta 90.00
_cell_angle_gamma 90.00
loop_
_atom_site_label
_atom_site_type_symbol
_atom_site_fract_x
_atom_site_fract_y
_atom_site_fract_z
Gd1 Gd 0.0000 0.0000 0.0000
Pt1 Pt 0.0000 0.0000 0.3452
Au1 Au 0.0000 0.0000 0.6736


# La2YCl PBE-GGA optimized geometry
# uncorrected energy = -37.641 eV for the cell shown
# magnetic moment = 0.09 μB per cell
# crystal system = tetragonal
# energy relative to the elements, uncorrected = -3.78 kcal/mol of atoms
# DOS at the Fermi energy = 13.84 states/eV per cell
# energy relative to the lowest polymorph listed for this composition = 0.515 eV/atom
data_La2YCl
_chemical_formula_sum 'La4 Y2 Cl2'
_symmetry_space_group_name_H-M 'I -4 m 2'
_symmetry_Int_Tables_number 119
_symmetry_space_group_name_Hall 'I -4 -2'
_cell_length_a 4.7332
_cell_length_b 4.7332
_cell_length_c 11.1042
_cell_angle_alpha 90.00
_cell_angle_beta 90.00
_cell_angle_gamma 90.00
loop_
_atom_site_label
_atom_site_type_symbol
_atom_site_fract_x
_atom_site_fract_y
_atom_site_fract_z
La1 La 0.0000 0.0000 0.0000
La2 La 0.0000 0.5000 0.2500
Y1 Y 0.0000 0.5000 0.7500
Cl1 Cl 0.0000 0.0000 0.5000


# La5TbPr2Dy PBE-GGA optimized geometry
# uncorrected energy = -164.360 eV for the cell shown
# magnetic moment = 0.00 μB per cell
# crystal system = tetragonal
# DOS at the Fermi energy = 67.46 states/eV per cell
data_La5TbPr2Dy
_chemical_formula_sum 'La20 Tb4 Pr8 Dy4'
_symmetry_space_group_name_H-M 'I 4/m c m'
_symmetry_Int_Tables_number 140
_symmetry_space_group_name_Hall '-I 4 2c'
_cell_length_a 8.7790
_cell_length_b 8.7790
_cell_length_c 16.9142
_cell_angle_alpha 90.00
_cell_angle_beta 90.00
_cell_angle_gamma 90.00
loop_
_atom_site_label
_atom_site_type_symbol
_atom_site_fract_x
_atom_site_fract_y
_atom_site_fract_z
La1 La 0.0000 0.0000 0.0000
La2 La 0.2166 0.2834 0.1439
Tb1 Tb 0.0000 0.0000 0.2500
Pr1 Pr 0.1220 0.3780 0.5000
Dy1 Dy 0.0000 0.5000 0.2500


# CuH10SO9 PBE-GGA optimized geometry
# uncorrected energy = -207.881 eV for the cell shown
# magnetic moment = 1.83 μB per cell
# crystal system = triclinic
# DOS at the Fermi energy = 4.30 states/eV per cell
# energy relative to the lowest polymorph listed for this composition = 0.225 eV/atom
data_CuH10SO9
_chemical_formula_sum 'Cu2 H20 S2 O18'
_symmetry_space_group_name_H-M 'P -1'
_symmetry_Int_Tables_number 2
_symmetry_space_group_name_Hall '-P 1'
_cell_length_a 6.4714
_cell_length_b 6.6277
_cell_length_c 11.0633
_cell_angle_alpha 76.72
_cell_angle_beta 88.67
_cell_angle_gamma 69.01
loop_
_atom_site_label
_atom_site_type_symbol
_atom_site_fract_x
_atom_site_fract_y
_atom_site_fract_z
Cu1 Cu 0.0000 0.0000 0.0000
Cu2 Cu 0.0000 0.5000 0.5000
H1 H 0.0284 0.2531 0.8018
H2 H 0.1025 0.7728 0.6064
H3 H 0.1597 0.1699 0.3947
H4 H 0.1706 0.2844 0.0138
H5 H 0.2005 0.1357 0.1510
H6 H 0.2251 0.6999 0.2173
H7 H 0.2890 0.4897 0.9085
H8 H 0.3845 0.3800 0.9268
H9 H 0.4497 0.4244 0.3481
H10 H 0.4697 0.6337 0.3773
S1 S 0.4130 0.9422 0.7427
O1 O 0.0242 0.2379 0.4360
O2 O 0.1001 0.1987 0.0729
O3 O 0.1013 0.7451 0.1490
O4 O 0.2642 0.2109 0.7111
O5 O 0.2925 0.3273 0.5850
O6 O 0.3330 0.8397 0.6598
O7 O 0.3557 0.0750 0.2793
O8 O 0.3584 0.5798 0.3478
O9 O 0.3701 0.8862 0.8733


# Pd3PtW PBE-GGA optimized geometry
# uncorrected energy = -27.745 eV for the cell shown
# magnetic moment = 0.00 μB per cell
# crystal system = cubic
# DOS at the Fermi energy = 4.04 states/eV per cell
# energy relative to the lowest polymorph listed for this composition = 1.224 eV/atom
data_Pd3PtW
_chemical_formula_sum 'Pd3 Pt1 W1'
_symmetry_space_group_name_H-M 'P m -3 m'
_symmetry_Int_Tables_number 221
_symmetry_space_group_name_Hall '-P 4 2 3'
_cell_length_a 4.7389
_cell_length_b 4.7389
_cell_length_c 4.7389
_cell_angle_alpha 90.00
_cell_angle_beta 90.00
_cell_angle_gamma 90.00
loop_
_atom_site_label
_atom_site_type_symbol
_atom_site_fract_x
_atom_site_fract_y
_atom_site_fract_z
Pd1 Pd 0.0000 0.0000 0.5000
Pt1 Pt 0.5000 0.5000 0.5000
W1 W 0.0000 0.0000 0.0000